[1]
Crystalline KTb2ZnSe4 at its relaxed geometry, computed with GGA-PBE.

abc: 4.103 14.338 14.580
angles: 90.00 90.00 90.00
Space group Cmcm (No. 63)
Asymmetric unit:
1 K 0.000 0.114 0.250 x4
2 Tb 0.000 0.373 0.053 x8
3 Zn 0.000 0.164 0.750 x4
4 Se 0.000 0.000 0.000 x4
5 Se 0.000 0.265 0.613 x8
6 Se 0.000 0.434 0.250 x4

Output
As for the total energy: -4.64 eV/atom. The calculated volume is 26.8 Å³/atom. The value obtained for the uncorrected formation energy is -1.443 eV per atom.

[2]
Crystalline KTbZnSe3 at its relaxed geometry, computed with GGA-PBE.

abc: 9.101 4.151 9.882
angles: 90.00 107.61 90.00
Space group P2_1/m (No. 11)
Asymmetric unit:
1 K 0.207 0.250 0.233 x2
2 Tb 0.330 0.750 0.859 x2
3 Zn 0.083 0.250 0.606 x2
4 Se 0.107 0.250 0.859 x2
5 Se 0.204 0.750 0.535 x2
6 Se 0.459 0.750 0.159 x2

Output
As for the total energy: -4.30 eV/atom. The calculated volume is 29.7 Å³/atom. The value obtained for the uncorrected formation energy is -1.387 eV per atom.

[3]
Crystalline K3Tb2ZrSe6 at its relaxed geometry, computed with GGA-PBE.

abc: 7.141 12.370 8.080
angles: 90.00 107.18 90.00
Space group C2/m (No. 12)
Asymmetric unit:
1 K 0.000 0.000 0.000 x2
2 K 0.000 0.330 0.000 x4
3 Tb 0.000 0.166 0.500 x4
4 Zr 0.000 0.500 0.500 x2
5 Se 0.229 0.340 0.705 x8
6 Se 0.249 0.000 0.706 x4

Output
As for the total energy: -5.10 eV/atom. The calculated volume is 28.4 Å³/atom. The value obtained for the uncorrected formation energy is -1.597 eV per atom.

[4]
Crystalline KTc3Se at its relaxed geometry, computed with GGA-PBE.

abc: 4.721 4.721 4.721
angles: 90.00 90.00 90.00
Space group Pm-3m (No. 221)
Asymmetric unit:
1 K 0.000 0.000 0.000 x1
2 Tc 0.000 0.500 0.500 x3
3 Se 0.500 0.500 0.500 x1

Output
As for the total energy: -5.85 eV/atom. The calculated volume is 21.0 Å³/atom. The value obtained for the uncorrected formation energy is 1.285 eV per atom. For the polymorph energy (0 for the lowest one), the calculation gives 0.00 eV/f.u.

[5]
Crystalline KTc2Se at its relaxed geometry, computed with GGA-PBE.

abc: 4.770 4.770 18.024
angles: 90.00 90.00 90.00
Space group I4_1/amd (No. 141, origin choice 2)
Asymmetric unit:
1 K 0.000 0.250 0.375 x4
2 Tc 0.000 0.000 0.000 x8
3 Se 0.000 0.250 0.875 x4

Output
As for the total energy: -5.63 eV/atom. The calculated volume is 25.6 Å³/atom. The value obtained for the uncorrected formation energy is 0.697 eV per atom.

[6]
Crystalline KTc2Se at its relaxed geometry, computed with GGA-PBE.

abc: 3.092 5.111 9.768
angles: 90.00 90.00 90.00
Space group Cmmm (No. 65)
Asymmetric unit:
1 K 0.000 0.000 0.000 x2
2 Tc 0.000 0.500 0.305 x4
3 Se 0.000 0.000 0.500 x2

Output
As for the total energy: -5.32 eV/atom. The calculated volume is 19.3 Å³/atom. The value obtained for the uncorrected formation energy is 1.006 eV per atom.

- calculated volume of number 4 (KTc3Se)?
  21.0 Å³/atom